Here is crystalline CePmTlHg at its relaxed geometry from the Alexandria database. Energies are from PBE.

Calculated values
D(E_F)   39.627 states/eV/cell
Crystal system   cubic
Formation energy   -0.335 eV per atom
Total magnetization   8.012 μB/cell
Mass density   9.93 g cm⁻³
Energy above the most stable polymorph in this dataset   7 meV/atom

abc: 7.727 7.727 7.727
angles: 90.00 90.00 90.00
Sites, in units of the cell vectors:
Ce: 0.000 0.000 0.000
Ce: 0.000 0.500 0.500
Ce: 0.500 0.000 0.500
Ce: 0.500 0.500 0.000
Pm: 0.000 0.000 0.500
Pm: 0.000 0.500 0.000
Pm: 0.500 0.000 0.000
Pm: 0.500 0.500 0.500
Tl: 0.250 0.250 0.250
Tl: 0.250 0.750 0.750
Tl: 0.750 0.250 0.750
Tl: 0.750 0.750 0.250
Hg: 0.250 0.250 0.750
Hg: 0.250 0.750 0.250
Hg: 0.750 0.250 0.250
Hg: 0.750 0.750 0.750